1.
Ce2Zn3Ag | PBE | relaxed

Unit cell a=6.5237 b=9.4677 c=16.4217 alpha=90.00 beta=90.00 gamma=90.00
Closest atoms and distances in Å follow each position.
Space group Fmmm (No. 69)
Symmetry-distinct sites (fractional):
Ce 0.2269 0.0000 0.0000 [8 per cell]  1 Ce 2.96, 2 Ag 3.14, 10 Zn 3.15-3.21
Ce 0.2500 0.2500 0.2500 [8 per cell]  4 Ag 3.17, 8 Zn 3.21, 2 Ce 3.26
Zn 0.0000 0.0000 0.3376 [8 per cell]  2 Zn 2.65, 1 Ag 2.77
Zn 0.0000 0.2425 0.4182 [16 per cell]  2 Zn 2.65-2.69, 1 Ag 2.82
Ag 0.0000 0.0000 0.1687 [8 per cell]  3 Zn 2.77-2.82

Output
Final energy   -3.352 eV/atom

---

2.
BeHg2Br | PBE | relaxed

Unit cell a=3.6877 b=3.6877 c=22.6146 alpha=90.00 beta=90.00 gamma=120.00
Closest atoms and distances in Å follow each position.
Space group R-3m (No. 166, hexagonal axes)
Symmetry-distinct sites (fractional):
Be 0.0000 0.0000 0.0000 [3 per cell]  6 Hg 2.60
Hg 0.0000 0.0000 0.2674 [6 per cell]  3 Be 2.60
Br 0.0000 0.0000 0.5000 [3 per cell]  6 Hg 3.12

Output
Energy above the most stable polymorph in this dataset   210.0 meV per atom
Final energy   -1.357 eV/atom
Raw formation energy   0.144 eV/atom

---

3.
Hf6CoSb2 | PBE | relaxed

Unit cell a=6.0429 b=6.0429 c=12.9034 alpha=90.00 beta=90.00 gamma=90.00
Closest atoms and distances in Å follow each position.
Space group P4_2/mnm (No. 136)
Symmetry-distinct sites (fractional):
Hf 0.1832 0.1832 0.1347 [8 per cell]  1 Co 2.34
Hf 0.2131 0.2131 0.5000 [4 per cell]  1 Co 2.45
Co 0.0000 0.0000 0.0000 [2 per cell]  6 Hf 2.34-2.45
Sb 0.0000 0.0000 0.3219 [4 per cell]  6 Hf 2.76-2.93

Output
Final energy   -8.117 eV/atom
Raw formation energy   0.224 eV/atom

---

4.
Mn2TcSb | PBE | relaxed

Unit cell a=3.8701 b=3.8701 c=3.9972 alpha=90.00 beta=90.00 gamma=90.00
Closest atoms and distances in Å follow each position.
Space group P4/mmm (No. 123)
Symmetry-distinct sites (fractional):
Mn 0.0000 0.5000 0.0000 [2 per cell]  4 Mn 2.74, 4 Sb 2.78, 4 Tc 2.78
Tc 0.0000 0.0000 0.5000 [1 per cell]  4 Sb 2.74, 8 Mn 2.78
Sb 0.5000 0.5000 0.5000 [1 per cell]  4 Tc 2.74, 8 Mn 2.78

Output
Final energy   -8.065 eV/atom
Raw formation energy   0.142 eV/atom

---

5.
Rb8Cd3Au2 | PBE | relaxed

Unit cell a=10.6203 b=18.5649 c=6.5760 alpha=90.00 beta=90.00 gamma=90.00
Closest atoms and distances in Å follow each position.
Space group Cmmm (No. 65)
Symmetry-distinct sites (fractional):
Rb 0.0000 0.1058 0.0000 [4 per cell]  2 Rb 3.78-3.93, 2 Cd 3.83, 2 Au 3.89
Rb 0.0000 0.3095 0.0000 [4 per cell]  2 Au 3.70, 1 Rb 3.78, 2 Cd 3.84
Rb 0.2142 0.3768 0.5000 [8 per cell]  2 Au 3.51-3.73, 1 Cd 3.80
Cd 0.0000 0.0000 0.5000 [2 per cell]  8 Rb 3.80-3.83, 2 Au 4.04
Cd 0.1417 0.5000 0.0000 [4 per cell]  1 Cd 3.01
Au 0.0000 0.2176 0.5000 [4 per cell]  8 Rb 3.51-3.89

Output
Final energy   -1.376 eV/atom

---

6.
Y5Se6 | PBE | relaxed

Unit cell a=7.0607 b=12.1770 c=7.0318 alpha=90.00 beta=109.53 gamma=90.00
Closest atoms and distances in Å follow each position.
Space group C2/m (No. 12)
Symmetry-distinct sites (fractional):
Y 0.0000 0.0000 0.0000 [2 per cell]  6 Se 2.87-2.93
Y 0.0000 0.1651 0.5000 [4 per cell]  6 Se 2.86-2.89
Y 0.0000 0.3347 0.0000 [4 per cell]  6 Se 2.87-2.92
Se 0.2458 0.5000 0.2556 [4 per cell]  5 Y 2.86-2.93
Se 0.2466 0.3355 0.7473 [8 per cell]  5 Y 2.87-2.92

Output
Final energy   -6.716 eV/atom
Raw formation energy   -1.877 eV/atom

---

7.
Sr4AgSn3 | PBE | relaxed

Unit cell a=4.6444 b=4.9615 c=12.1084 alpha=90.00 beta=90.00 gamma=90.00
Closest atoms and distances in Å follow each position.
Space group Pmm2 (No. 25)
Symmetry-distinct sites (fractional):
Sr 0.0000 0.0000 0.0000 [1 per cell]  6 Sn 3.49-3.65, 1 Ag 3.49
Sr 0.0000 0.5000 0.4914 [1 per cell]  5 Sn 3.49, 2 Ag 3.49
Sr 0.5000 0.0000 0.7152 [1 per cell]  7 Sn 3.49-3.64
Sr 0.5000 0.5000 0.2221 [1 per cell]  3 Sn 3.48-3.51, 4 Ag 3.49
Ag 0.0000 0.0000 0.2882 [1 per cell]  2 Sn 2.87
Sn 0.0000 0.5000 0.7794 [1 per cell]  2 Sn 2.99
Sn 0.5000 0.0000 0.4272 [1 per cell]  2 Ag 2.87
Sn 0.5000 0.5000 0.9348 [1 per cell]  2 Sn 2.99

Output
Final energy   -3.255 eV/atom

---

8.
NaTa2Co2 | PBE | relaxed

Unit cell a=4.1559 b=4.1559 c=10.8757 alpha=90.00 beta=90.00 gamma=90.00
Closest atoms and distances in Å follow each position.
Space group I4/mmm (No. 139)
Symmetry-distinct sites (fractional):
Na 0.0000 0.0000 0.0000 [2 per cell]  8 Ta 3.30, 8 Co 3.42
Ta 0.0000 0.0000 0.3613 [4 per cell]  4 Co 2.41
Co 0.0000 0.5000 0.2500 [4 per cell]  4 Ta 2.41

Output
Energy above the most stable polymorph in this dataset   489.1 meV per atom
Final energy   -7.170 eV/atom

---

9.
PmAlCu | PBE | relaxed

Unit cell a=4.2257 b=4.2257 c=6.9280 alpha=90.00 beta=90.00 gamma=90.00
Closest atoms and distances in Å follow each position.
Space group P4/nmm (No. 129, origin choice 2)
Symmetry-distinct sites (fractional):
Pm 0.2500 0.2500 0.1555 [2 per cell]  5 Cu 3.12-3.14, 4 Al 3.19
Al 0.2500 0.7500 0.5000 [2 per cell]  4 Cu 2.55
Cu 0.2500 0.2500 0.7054 [2 per cell]  4 Al 2.55

Output
Energy above the most stable polymorph in this dataset   25.0 meV per atom
Final energy   -4.538 eV/atom

---

10.
BePtCl2 | PBE | relaxed

Unit cell a=13.0827 b=3.0596 c=4.3154 alpha=90.00 beta=99.40 gamma=90.00
Closest atoms and distances in Å follow each position.
Space group C2/m (No. 12)
Symmetry-distinct sites (fractional):
Be 0.0000 0.0000 0.0000 [2 per cell]  4 Cl 2.27
Pt 0.0000 0.5000 0.5000 [2 per cell]  2 Cl 2.31
Cl 0.1241 0.5000 0.1773 [4 per cell]  2 Be 2.27, 1 Pt 2.31

Output
Energy above the most stable polymorph in this dataset   61.5 meV per atom
Final energy   -3.739 eV/atom
Raw formation energy   -0.374 eV/atom

---

11.
K2NaCd3Au4 | PBE | relaxed

Unit cell a=4.9320 b=4.9320 c=11.2897 alpha=90.00 beta=90.00 gamma=90.00
Closest atoms and distances in Å follow each position.
Space group P-4m2 (No. 115)
Symmetry-distinct sites (fractional):
K 0.0000 0.5000 0.2335 [2 per cell]  8 Au 3.61-3.79, 7 Cd 3.72-3.98, 2 Na 3.89
Na 0.0000 0.0000 0.5000 [1 per cell]  4 Au 2.90
Cd 0.0000 0.5000 0.8807 [2 per cell]  5 Au 2.77-2.81
Cd 0.5000 0.5000 0.5000 [1 per cell]  4 Au 2.90
Au 0.0000 0.0000 0.0000 [1 per cell]  4 Cd 2.81
Au 0.0000 0.5000 0.6357 [2 per cell]  3 Cd 2.77-2.90, 2 Na 2.90
Au 0.5000 0.5000 0.0000 [1 per cell]  4 Cd 2.81

Output
Final energy   -2.185 eV/atom

---

12.
BaSr3Ga | PBE | relaxed

Unit cell a=6.6783 b=6.6783 c=6.6783 alpha=90.00 beta=90.00 gamma=90.00
Closest atoms and distances in Å follow each position.
Space group Pm-3m (No. 221)
Symmetry-distinct sites (fractional):
Ba 0.0000 0.0000 0.0000 [1 per cell]  6 Sr 3.34
Sr 0.0000 0.0000 0.5000 [3 per cell]  2 Ba 3.34
Ga 0.5000 0.5000 0.5000 [1 per cell]  12 Sr 4.72

Output
Energy above the most stable polymorph in this dataset   1027.7 meV per atom
Final energy   -1.095 eV/atom

---

13.
La5Ir | PBE | relaxed

Unit cell a=8.9693 b=8.9693 c=8.9693 alpha=90.00 beta=90.00 gamma=90.00
Closest atoms and distances in Å follow each position.
Space group F-43m (No. 216)
Symmetry-distinct sites (fractional):
La 0.0000 0.0000 0.0000 [4 per cell]  12 La 3.73, 4 Ir 3.88
La 0.1220 0.1220 0.3780 [16 per cell]  6 La 3.10-3.25
Ir 0.2500 0.2500 0.7500 [4 per cell]  16 La 3.71-3.88

Output
Energy above the most stable polymorph in this dataset   732.1 meV per atom
Final energy   -5.086 eV/atom